Entry 1:
A plane-wave DFT calculation with GGA-PBE was carried out for crystalline La2RuN at its relaxed geometry.

Output
- Space-group type: I-42d, No. 122
- Fermi-level density of states: 3.264 states/eV/f.u.
- Density: 7.16 g/cm³
- Formation energy (no corrections): -0.3564 eV/atom

Cell: 6.667 6.667 6.247 Å, 57.75 57.75 90.00°
Positions (direct):
Ru: 0.000 0.000 0.000
Ru: 0.750 0.250 0.500
N: 0.500 0.500 0.000
N: 0.250 0.750 0.500
La: 0.585 0.125 0.250
La: 0.165 0.625 0.250
La: 0.375 0.415 0.750
La: 0.875 0.835 0.750

Entry 2:
A plane-wave DFT calculation with GGA-PBE was carried out for crystalline Tl2In15Sn2 at its relaxed geometry.

Output
- Space-group type: R-3m, No. 166
- Calculated formation energy: 0.067 eV/atom
- Fermi-level density of states: 9.796 states/eV/f.u.
- Density: 7.10 g/cm³

Cell: 8.291 8.291 8.291 Å, 81.72 81.72 81.72°
Positions (direct):
Tl: 0.339 0.339 0.339
Tl: 0.661 0.661 0.661
In: 0.500 0.000 0.000
In: 0.000 0.000 0.500
In: 0.000 0.500 0.000
In: 0.000 0.701 0.299
In: 0.701 0.299 0.000
In: 0.299 0.000 0.701
In: 0.299 0.701 0.000
In: 0.701 0.000 0.299
In: 0.000 0.299 0.701
In: 0.158 0.633 0.633
In: 0.633 0.633 0.158
In: 0.633 0.158 0.633
In: 0.842 0.367 0.367
In: 0.367 0.367 0.842
In: 0.367 0.842 0.367
Sn: 0.101 0.101 0.101
Sn: 0.899 0.899 0.899